Arrangement a

## Ce6Ge2Pb (GGA-PBE)

Data for an optimized crystal structure of Ce6Ge2Pb.

Cell lengths 8.6727, 8.6727, 8.6727 Å; angles 114.28, 110.80, 103.52 degrees
With the nearest neighbours (Å) after each atom.
Fractional coordinates of all 18 atoms:
Ce 0.0325 0.2473 0.7851  2 Ge 3.06-3.16, 1 Pb 3.40
Ce 0.2038 0.2821 0.4860  3 Ge 3.12-3.14, 1 Pb 3.33, 2 Ce 3.49
Ce 0.2038 0.7179 0.9217  3 Ge 3.12-3.14, 1 Pb 3.33, 2 Ce 3.49
Ce 0.3137 0.0328 0.7190  3 Ge 2.94-3.14
Ce 0.3137 0.5947 0.2810  3 Ge 2.94-3.14
Ce 0.4622 0.2473 0.2149  2 Ge 3.06-3.16, 1 Pb 3.40
Ce 0.5378 0.7527 0.7851  2 Ge 3.06-3.16, 1 Pb 3.40
Ce 0.6863 0.4053 0.7190  3 Ge 2.94-3.14
Ce 0.6863 0.9672 0.2810  3 Ge 2.94-3.14
Ce 0.7962 0.2821 0.0783  3 Ge 3.12-3.14, 1 Pb 3.33, 2 Ce 3.49
Ce 0.7962 0.7179 0.5140  3 Ge 3.12-3.14, 1 Pb 3.33, 2 Ce 3.49
Ce 0.9675 0.7527 0.2149  2 Ge 3.06-3.16, 1 Pb 3.40
Ge 0.1184 0.6184 0.5000  1 Ge 2.54
Ge 0.3700 0.0000 0.3700  1 Ge 2.56
Ge 0.6300 0.0000 0.6300  1 Ge 2.56
Ge 0.8816 0.3816 0.5000  1 Ge 2.54
Pb 0.0000 0.0000 0.0000  8 Ce 3.33-3.40, 2 Ge 3.64
Pb 0.5000 0.5000 0.0000  12 Ce 3.32-3.57

Calculated values
* calculated volume: 249 Å³/f.u.



Arrangement b

## Ce6Ge2Pb (GGA-PBE)

Data for an optimized crystal structure of Ce6Ge2Pb.

Cell lengths 8.2594, 8.2594, 4.1185 Å; angles 90.00, 90.00, 120.00 degrees
With the nearest neighbours (Å) after each atom.
Fractional coordinates of all 9 atoms:
Ce 0.0000 0.2929 0.0000  2 Ge 2.93, 2 Ce 2.98, 2 Pb 3.18
Ce 0.0000 0.5542 0.5000  2 Ce 2.98, 4 Ge 3.18
Ce 0.2929 0.0000 0.0000  2 Ge 2.93, 2 Ce 2.98, 2 Pb 3.18
Ce 0.4458 0.4458 0.5000  2 Ce 2.98, 4 Ge 3.18
Ce 0.5542 0.0000 0.5000  2 Ce 2.98, 4 Ge 3.18
Ce 0.7071 0.7071 0.0000  2 Ge 2.93, 2 Ce 2.98, 2 Pb 3.18
Ge 0.3333 0.6667 0.0000  9 Ce 2.93-3.18
Ge 0.6667 0.3333 0.0000  9 Ce 2.93-3.18
Pb 0.0000 0.0000 0.5000  6 Ce 3.18

Calculated values
* calculated volume: 243 Å³/f.u.



Which of them is least stable? Easy: arrangement a.



Arrangement a

## Ce4GePb (GGA-PBE)

Data for an optimized crystal structure of Ce4GePb.

Cell lengths 8.1631, 8.1631, 6.0625 Å; angles 100.74, 100.74, 119.20 degrees
With the nearest neighbours (Å) after each atom.
Fractional coordinates of all 12 atoms:
Ce 0.1103 0.7393 0.9182  1 Ce 2.75, 1 Ge 3.06
Ce 0.2284 0.4008 0.6558  1 Ce 2.85, 2 Ge 3.06-3.14
Ce 0.2607 0.8897 0.5818  1 Ce 2.75, 1 Ge 3.06
Ce 0.4008 0.2284 0.1558  1 Ce 2.85, 2 Ge 3.06-3.14
Ce 0.5992 0.7716 0.8442  1 Ce 2.85, 2 Ge 3.06-3.14
Ce 0.7393 0.1103 0.4182  1 Ce 2.75, 1 Ge 3.06
Ce 0.7716 0.5992 0.3442  1 Ce 2.85, 2 Ge 3.06-3.14
Ce 0.8897 0.2607 0.0818  1 Ce 2.75, 1 Ge 3.06
Ge 0.0088 0.9912 0.2500  2 Ge 3.04, 8 Ce 3.06-3.14
Ge 0.9912 0.0088 0.7500  2 Ge 3.04, 8 Ce 3.06-3.14
Pb 0.3764 0.6236 0.2500  10 Ce 3.28-3.40
Pb 0.6236 0.3764 0.7500  10 Ce 3.28-3.40

Calculated values
* calculated volume: 164 Å³/f.u.



Arrangement b

## Ce4GePb (GGA-PBE)

Data for an optimized crystal structure of Ce4GePb.

Cell lengths 6.1027, 6.1027, 5.1006 Å; angles 114.27, 114.27, 97.34 degrees
With the nearest neighbours (Å) after each atom.
Fractional coordinates of all 6 atoms:
Ce 0.0724 0.4184 0.2635  2 Ce 2.76-3.08
Ce 0.4184 0.0724 0.2635  2 Ce 2.76-3.08
Ce 0.5816 0.9276 0.7365  2 Ce 2.76-3.08
Ce 0.9276 0.5816 0.7365  2 Ce 2.76-3.08
Ge 0.0000 0.0000 0.5000  2 Pb 3.16, 12 Ce 3.29-3.46
Pb 0.5000 0.5000 0.0000  2 Ge 3.16, 12 Ce 3.35-3.46

Calculated values
* calculated volume: 147 Å³/f.u.



Which of them is least stable? Easy: arrangement b.



Arrangement a

## CePuGePb (GGA-PBE)

Data for an optimized crystal structure of CePuGePb.

Cell lengths 3.4262, 3.4262, 8.7526 Å; angles 90.00, 90.00, 90.00 degrees
With the nearest neighbours (Å) after each atom.
Fractional coordinates of all 4 atoms:
Ce 0.0000 0.0000 0.0000  4 Ge 3.11, 4 Ce 3.43, 4 Pb 3.46
Pu 0.0000 0.0000 0.5616  4 Ge 3.07, 4 Pu 3.43
Ge 0.5000 0.5000 0.7768  4 Pu 3.07, 4 Ce 3.11, 4 Ge 3.43
Pb 0.5000 0.5000 0.2824  4 Pb 3.43, 4 Pu 3.44, 4 Ce 3.46

Calculated values
* calculated volume: 103 Å³/f.u.



Arrangement b

## CePuGePb (GGA-PBE)

Data for an optimized crystal structure of CePuGePb.

Cell lengths 5.3134, 5.3134, 5.3134 Å; angles 60.00, 60.00, 60.00 degrees
With the nearest neighbours (Å) after each atom.
Fractional coordinates of all 4 atoms:
Ce 0.0000 0.0000 0.0000  4 Ge 3.25, 4 Pb 3.25
Pu 0.5000 0.5000 0.5000  4 Ge 3.25, 4 Pb 3.25
Ge 0.7500 0.7500 0.7500  4 Ce 3.25, 4 Pu 3.25
Pb 0.2500 0.2500 0.2500  4 Ce 3.25, 4 Pu 3.25

Calculated values
* calculated volume: 106 Å³/f.u.



Which of them is least stable? Easy: arrangement b.



Arrangement a

## CeGe3Pd5 (GGA-PBE)

Data for an optimized crystal structure of CeGe3Pd5.

Cell lengths 6.8551, 6.8551, 12.8488 Å; angles 90.00, 90.00, 146.84 degrees
With the nearest neighbours (Å) after each atom.
Fractional coordinates of all 18 atoms:
Ce 0.1391 0.8609 0.7500  7 Ge 3.30-3.67, 8 Pd 3.45-3.67
Ce 0.8609 0.1391 0.2500  7 Ge 3.30-3.67, 8 Pd 3.45-3.67
Ge 0.1244 0.8756 0.2500  6 Pd 2.51-2.56
Ge 0.3819 0.6181 0.0447  5 Pd 2.40-2.60
Ge 0.3819 0.6181 0.4553  5 Pd 2.40-2.60
Ge 0.6181 0.3819 0.5447  5 Pd 2.40-2.60
Ge 0.6181 0.3819 0.9553  5 Pd 2.40-2.60
Ge 0.8756 0.1244 0.7500  6 Pd 2.51-2.56
Pd 0.0000 0.0000 0.0000  4 Ge 2.56, 6 Pd 2.79-2.80
Pd 0.0000 0.0000 0.5000  4 Ge 2.56, 6 Pd 2.79-2.80
Pd 0.2014 0.7986 0.0711  2 Ge 2.40-2.51
Pd 0.2014 0.7986 0.4289  2 Ge 2.40-2.51
Pd 0.4487 0.5513 0.6455  4 Ge 2.56-2.60, 3 Pd 2.69-2.79
Pd 0.4487 0.5513 0.8545  4 Ge 2.56-2.60, 3 Pd 2.69-2.79
Pd 0.5513 0.4487 0.1455  4 Ge 2.56-2.60, 3 Pd 2.69-2.79
Pd 0.5513 0.4487 0.3545  4 Ge 2.56-2.60, 3 Pd 2.69-2.79
Pd 0.7986 0.2014 0.5711  2 Ge 2.40-2.51
Pd 0.7986 0.2014 0.9289  2 Ge 2.40-2.51

Calculated values
* calculated volume: 165 Å³/f.u.



Arrangement b

## CeGe3Pd5 (GGA-PBE)

Data for an optimized crystal structure of CeGe3Pd5.

Cell lengths 20.3852, 4.1357, 7.3872 Å; angles 90.00, 90.00, 90.00 degrees
With the nearest neighbours (Å) after each atom.
Fractional coordinates of all 36 atoms:
Ce 0.1437 0.2500 0.1224  6 Ge 3.16-3.20, 9 Pd 3.23-3.52
Ce 0.3563 0.7500 0.6224  6 Ge 3.16-3.20, 9 Pd 3.23-3.52
Ce 0.6437 0.2500 0.3776  6 Ge 3.16-3.20, 9 Pd 3.23-3.52
Ce 0.8563 0.7500 0.8776  6 Ge 3.16-3.20, 9 Pd 3.23-3.52
Ge 0.0759 0.7500 0.8502  7 Pd 2.50-2.69
Ge 0.0861 0.7500 0.4046  5 Pd 2.46-2.62
Ge 0.2389 0.2500 0.6249  7 Pd 2.51-2.66
Ge 0.2611 0.7500 0.1249  7 Pd 2.51-2.66
Ge 0.4139 0.2500 0.9046  5 Pd 2.46-2.62
Ge 0.4241 0.2500 0.3502  7 Pd 2.50-2.69
Ge 0.5759 0.7500 0.6498  7 Pd 2.50-2.69
Ge 0.5861 0.7500 0.0954  5 Pd 2.46-2.62
Ge 0.7389 0.2500 0.8751  7 Pd 2.51-2.66
Ge 0.7611 0.7500 0.3751  7 Pd 2.51-2.66
Ge 0.9139 0.2500 0.5954  5 Pd 2.46-2.62
Ge 0.9241 0.2500 0.1498  7 Pd 2.50-2.69
Pd 0.0058 0.7500 0.1283  4 Ge 2.50-2.66, 2 Pd 2.78
Pd 0.0138 0.2500 0.3797  4 Ge 2.50-2.59, 4 Pd 2.78
Pd 0.1159 0.2500 0.6450  5 Ge 2.51-2.79
Pd 0.1997 0.7500 0.8240  4 Ge 2.53-2.66
Pd 0.2066 0.7500 0.4297  4 Ge 2.46-2.61
Pd 0.2934 0.2500 0.9297  4 Ge 2.46-2.61
Pd 0.3003 0.2500 0.3240  4 Ge 2.53-2.66
Pd 0.3841 0.7500 0.1450  5 Ge 2.51-2.79
Pd 0.4862 0.7500 0.8797  4 Ge 2.50-2.59, 4 Pd 2.78
Pd 0.4942 0.2500 0.6283  4 Ge 2.50-2.66, 2 Pd 2.78
Pd 0.5058 0.7500 0.3717  4 Ge 2.50-2.66, 2 Pd 2.78
Pd 0.5138 0.2500 0.1203  4 Ge 2.50-2.59, 4 Pd 2.78
Pd 0.6159 0.2500 0.8550  5 Ge 2.51-2.79
Pd 0.6997 0.7500 0.6760  4 Ge 2.53-2.66
Pd 0.7066 0.7500 0.0703  4 Ge 2.46-2.61
Pd 0.7934 0.2500 0.5703  4 Ge 2.46-2.61
Pd 0.8003 0.2500 0.1760  4 Ge 2.53-2.66
Pd 0.8841 0.7500 0.3550  5 Ge 2.51-2.79
Pd 0.9862 0.7500 0.6203  4 Ge 2.50-2.59, 4 Pd 2.78
Pd 0.9942 0.2500 0.8717  4 Ge 2.50-2.66, 2 Pd 2.78

Calculated values
* calculated volume: 156 Å³/f.u.



Which of them is least stable? Easy: arrangement a.



Arrangement a

## Ce2Ge6Pd (GGA-PBE)

Data for an optimized crystal structure of Ce2Ge6Pd.

Cell lengths 4.1580, 11.2581, 11.2581 Å; angles 21.07, 90.00, 90.00 degrees
With the nearest neighbours (Å) after each atom.
Fractional coordinates of all 9 atoms:
Ce 0.0000 0.0000 0.0000  10 Ge 3.16-3.43, 4 Pd 3.19
Ce 0.0000 0.3356 0.3356  10 Ge 3.05-3.21
Ge 0.0000 0.6210 0.6210  1 Ge 2.50, 2 Pd 2.51
Ge 0.0000 0.7342 0.7342  1 Ge 2.50
Ge 0.5000 0.1216 0.1216  2 Pd 2.50, 1 Ge 2.51
Ge 0.5000 0.2348 0.2348  1 Ge 2.51
Ge 0.5000 0.4460 0.4460  1 Pd 2.46, 2 Ge 2.57
Ge 0.5000 0.8767 0.8767  2 Ge 2.57
Pd 0.5000 0.5571 0.5571  5 Ge 2.46-2.51

Calculated values
* calculated volume: 189 Å³/f.u.



Arrangement b

## Ce2Ge6Pd (GGA-PBE)

Data for an optimized crystal structure of Ce2Ge6Pd.

Cell lengths 4.8014, 4.8014, 8.1980 Å; angles 90.00, 90.00, 90.00 degrees
With the nearest neighbours (Å) after each atom.
Fractional coordinates of all 9 atoms:
Ce 0.0000 0.0000 0.2488  12 Ge 3.15-3.44
Ce 0.0000 0.0000 0.7512  12 Ge 3.15-3.44
Ge 0.0000 0.5000 0.0000  4 Ge 2.84, 4 Ce 3.15
Ge 0.0000 0.5000 0.5000  2 Pd 2.40
Ge 0.5000 0.0000 0.0000  4 Ge 2.84, 4 Ce 3.15
Ge 0.5000 0.0000 0.5000  2 Pd 2.40
Ge 0.5000 0.5000 0.1850  1 Pd 2.58, 4 Ge 2.84
Ge 0.5000 0.5000 0.8150  1 Pd 2.58, 4 Ge 2.84
Pd 0.5000 0.5000 0.5000  6 Ge 2.40-2.58

Calculated values
* calculated volume: 189 Å³/f.u.



Which of them is least stable? Easy: arrangement b.



Arrangement a

## CeGe2Pd4 (GGA-PBE)

Data for an optimized crystal structure of CeGe2Pd4.

Cell lengths 17.2521, 4.2571, 6.7627 Å; angles 90.00, 90.00, 90.00 degrees
With the nearest neighbours (Å) after each atom.
Fractional coordinates of all 28 atoms:
Ce 0.1399 0.2500 0.0055  9 Pd 2.99-3.27, 4 Ge 3.22-3.24
Ce 0.3601 0.7500 0.5055  9 Pd 2.99-3.27, 4 Ge 3.22-3.24
Ce 0.6399 0.2500 0.4945  9 Pd 2.99-3.27, 4 Ge 3.22-3.24
Ce 0.8601 0.7500 0.9945  9 Pd 2.99-3.27, 4 Ge 3.22-3.24
Ge 0.0436 0.7500 0.2661  7 Pd 2.52-2.77
Ge 0.2188 0.2500 0.5152  7 Pd 2.52-2.60
Ge 0.2812 0.7500 0.0152  7 Pd 2.52-2.60
Ge 0.4564 0.2500 0.7661  7 Pd 2.52-2.77
Ge 0.5436 0.7500 0.2339  7 Pd 2.52-2.77
Ge 0.7188 0.2500 0.9848  7 Pd 2.52-2.60
Ge 0.7812 0.7500 0.4848  7 Pd 2.52-2.60
Ge 0.9564 0.2500 0.7339  7 Pd 2.52-2.77
Pd 0.0252 0.7500 0.8596  3 Ge 2.58-2.77
Pd 0.0711 0.2500 0.5024  4 Ge 2.52-2.70
Pd 0.1900 0.7500 0.3067  4 Ge 2.52-2.60, 1 Pd 2.80
Pd 0.1906 0.7500 0.7213  3 Ge 2.53-2.59, 1 Pd 2.80
Pd 0.3094 0.2500 0.2213  3 Ge 2.53-2.59, 1 Pd 2.80
Pd 0.3100 0.2500 0.8067  4 Ge 2.52-2.60, 1 Pd 2.80
Pd 0.4289 0.7500 0.0024  4 Ge 2.52-2.70
Pd 0.4748 0.2500 0.3596  3 Ge 2.58-2.77
Pd 0.5252 0.7500 0.6404  3 Ge 2.58-2.77
Pd 0.5711 0.2500 0.9976  4 Ge 2.52-2.70
Pd 0.6900 0.7500 0.1933  4 Ge 2.52-2.60, 1 Pd 2.80
Pd 0.6906 0.7500 0.7787  3 Ge 2.53-2.59, 1 Pd 2.80
Pd 0.8094 0.2500 0.2787  3 Ge 2.53-2.59, 1 Pd 2.80
Pd 0.8100 0.2500 0.6933  4 Ge 2.52-2.60, 1 Pd 2.80
Pd 0.9289 0.7500 0.4976  4 Ge 2.52-2.70
Pd 0.9748 0.2500 0.1404  3 Ge 2.58-2.77

Calculated values
* calculated volume: 124 Å³/f.u.



Arrangement b

## CeGe2Pd4 (GGA-PBE)

Data for an optimized crystal structure of CeGe2Pd4.

Cell lengths 7.8845, 7.8845, 3.9770 Å; angles 90.00, 90.00, 90.00 degrees
With the nearest neighbours (Å) after each atom.
Fractional coordinates of all 14 atoms:
Ce 0.0000 0.0000 0.0000  6 Ge 3.14-3.15, 12 Pd 3.39-3.50
Ce 0.5000 0.5000 0.5000  6 Ge 3.14-3.15, 12 Pd 3.39-3.50
Ge 0.2175 0.2175 0.5000  6 Pd 2.55-2.58
Ge 0.2825 0.7175 0.0000  6 Pd 2.55-2.58
Ge 0.7175 0.2825 0.0000  6 Pd 2.55-2.58
Ge 0.7825 0.7825 0.5000  6 Pd 2.55-2.58
Pd 0.0873 0.6633 0.5000  3 Ge 2.55-2.58, 1 Pd 2.78
Pd 0.1633 0.4127 0.0000  3 Ge 2.55-2.58, 1 Pd 2.78
Pd 0.3367 0.9127 0.5000  3 Ge 2.55-2.58, 1 Pd 2.78
Pd 0.4127 0.1633 0.0000  3 Ge 2.55-2.58, 1 Pd 2.78
Pd 0.5873 0.8367 0.0000  3 Ge 2.55-2.58, 1 Pd 2.78
Pd 0.6633 0.0873 0.5000  3 Ge 2.55-2.58, 1 Pd 2.78
Pd 0.8367 0.5873 0.0000  3 Ge 2.55-2.58, 1 Pd 2.78
Pd 0.9127 0.3367 0.5000  3 Ge 2.55-2.58, 1 Pd 2.78

Calculated values
* calculated volume: 124 Å³/f.u.



Which of them is least stable? Easy: arrangement a.



Arrangement a

## Ce2GePd6 (GGA-PBE)

Data for an optimized crystal structure of Ce2GePd6.

Cell lengths 5.7311, 5.7311, 5.9161 Å; angles 90.00, 90.00, 120.00 degrees
With the nearest neighbours (Å) after each atom.
Fractional coordinates of all 9 atoms:
Ce 0.3333 0.6667 0.3156  6 Pd 2.96
Ce 0.6667 0.3333 0.6844  6 Pd 2.96
Ge 0.0000 0.0000 0.5000  6 Pd 2.51
Pd 0.1728 0.3456 0.8103  1 Ge 2.51, 2 Pd 2.76
Pd 0.1728 0.8272 0.8103  1 Ge 2.51, 2 Pd 2.76
Pd 0.3456 0.1728 0.1897  1 Ge 2.51, 2 Pd 2.76
Pd 0.6544 0.8272 0.8103  1 Ge 2.51, 2 Pd 2.76
Pd 0.8272 0.1728 0.1897  1 Ge 2.51, 2 Pd 2.76
Pd 0.8272 0.6544 0.1897  1 Ge 2.51, 2 Pd 2.76

Calculated values
* calculated volume: 168 Å³/f.u.



Arrangement b

## Ce2GePd6 (GGA-PBE)

Data for an optimized crystal structure of Ce2GePd6.

Cell lengths 5.6677, 5.6677, 6.1824 Å; angles 101.29, 101.29, 60.66 degrees
With the nearest neighbours (Å) after each atom.
Fractional coordinates of all 9 atoms:
Ce 0.1420 0.1420 0.3289  7 Pd 2.94-3.24
Ce 0.8580 0.8580 0.6711  7 Pd 2.94-3.24
Ge 0.5000 0.5000 0.5000  6 Pd 2.47-2.55
Pd 0.1137 0.6295 0.1820  1 Ge 2.55, 3 Pd 2.76-2.79
Pd 0.3696 0.3696 0.7991  1 Ge 2.47, 2 Pd 2.76
Pd 0.3705 0.8863 0.8180  1 Ge 2.55, 3 Pd 2.76-2.79
Pd 0.6295 0.1137 0.1820  1 Ge 2.55, 3 Pd 2.76-2.79
Pd 0.6304 0.6304 0.2009  1 Ge 2.47, 2 Pd 2.76
Pd 0.8863 0.3705 0.8180  1 Ge 2.55, 3 Pd 2.76-2.79

Calculated values
* calculated volume: 169 Å³/f.u.



Which of them is least stable? Easy: arrangement b.



Arrangement a

## CePuGePd (GGA-PBE)

Data for an optimized crystal structure of CePuGePd.

Cell lengths 3.4814, 3.4814, 13.7352 Å; angles 90.00, 90.00, 90.00 degrees
With the nearest neighbours (Å) after each atom.
Fractional coordinates of all 8 atoms:
Ce 0.2500 0.2500 0.1957  4 Pd 2.91, 4 Ge 3.23
Ce 0.7500 0.7500 0.8043  4 Pd 2.91, 4 Ge 3.23
Pu 0.2500 0.7500 0.5000  4 Pu 2.46
Pu 0.7500 0.2500 0.5000  4 Pu 2.46
Ge 0.2500 0.2500 0.9570  4 Ge 2.73
Ge 0.7500 0.7500 0.0430  4 Ge 2.73
Pd 0.2500 0.2500 0.6907  4 Ce 2.91, 4 Pu 3.14
Pd 0.7500 0.7500 0.3093  4 Ce 2.91, 4 Pu 3.14

Calculated values
* calculated volume: 83 Å³/f.u.



Arrangement b

## CePuGePd (GGA-PBE)

Data for an optimized crystal structure of CePuGePd.

Cell lengths 5.0697, 5.0697, 5.0697 Å; angles 60.00, 60.00, 60.00 degrees
With the nearest neighbours (Å) after each atom.
Fractional coordinates of all 4 atoms:
Ce 0.0000 0.0000 0.0000  4 Ge 3.10, 4 Pd 3.10
Pu 0.5000 0.5000 0.5000  4 Pd 3.10, 4 Ge 3.10
Ge 0.7500 0.7500 0.7500  4 Pu 3.10, 4 Ce 3.10
Pd 0.2500 0.2500 0.2500  4 Pu 3.10, 4 Ce 3.10

Calculated values
* calculated volume: 92 Å³/f.u.



Which of them is least stable? Easy: arrangement a.